# 1
# Mn2Ni8As (GGA-PBE, optimized geometry)
# * density of states at the Fermi level: 28.39 states/eV/cell
# * crystal system: orthorhombic
# * calculated total energy: -6.327 eV per atom
data_Mn2Ni8As
_chemical_formula_sum 'Mn4 Ni16 As2'
_symmetry_space_group_name_H-M 'I m m m'
_symmetry_Int_Tables_number 71
_symmetry_space_group_name_Hall '-I 2 2'
_cell_length_a 4.098
_cell_length_b 5.231
_cell_length_c 12.338
_cell_angle_alpha 90.00
_cell_angle_beta 90.00
_cell_angle_gamma 90.00
loop_
_atom_site_label
_atom_site_fract_x
_atom_site_fract_y
_atom_site_fract_z
Mn1 0.000 0.000 0.187
Ni1 0.000 0.242 0.000
Ni2 0.000 0.264 0.357
Ni3 0.000 0.500 0.181
As1 0.000 0.000 0.500

***

# 2
# Pu2AlFe3 (GGA-PBE, optimized geometry)
# * density of states at the Fermi level: 58.49 states/eV/cell
# * crystal system: orthorhombic
# * calculated total energy: -9.540 eV per atom
data_Pu2AlFe3
_chemical_formula_sum 'Pu8 Al4 Fe12'
_symmetry_space_group_name_H-M 'C m c m'
_symmetry_Int_Tables_number 63
_symmetry_space_group_name_Hall '-C 2c 2'
_cell_length_a 8.803
_cell_length_b 8.382
_cell_length_c 5.228
_cell_angle_alpha 90.00
_cell_angle_beta 90.00
_cell_angle_gamma 90.00
loop_
_atom_site_label
_atom_site_fract_x
_atom_site_fract_y
_atom_site_fract_z
Pu1 0.158 0.248 0.250
Al1 0.000 0.400 0.750
Fe1 0.000 0.074 0.750
Fe2 0.247 0.500 0.000

***

# 3
# SrC2Cl (GGA-PBE, optimized geometry)
# * formation energy (no corrections): 1935 meV per atom
# * density of states at the Fermi level: 5.60 states/eV/cell
# * crystal system: tetragonal
# * calculated total energy: -3.559 eV per atom
data_SrC2Cl
_chemical_formula_sum 'Sr4 C8 Cl4'
_symmetry_space_group_name_H-M 'I -4 2 d'
_symmetry_Int_Tables_number 122
_symmetry_space_group_name_Hall 'I -4 2bw'
_cell_length_a 6.280
_cell_length_b 6.280
_cell_length_c 6.626
_cell_angle_alpha 90.00
_cell_angle_beta 90.00
_cell_angle_gamma 90.00
loop_
_atom_site_label
_atom_site_fract_x
_atom_site_fract_y
_atom_site_fract_z
Sr1 0.000 0.000 0.000
C1 0.148 0.250 0.625
Cl1 0.000 0.000 0.500

***

# 4
# ZrPtCl2 (GGA-PBE, optimized geometry)
# * formation energy (no corrections): -1072 meV per atom
# * density of states at the Fermi level: 0.00 states/eV/cell
# * crystal system: monoclinic
# * calculated total energy: -5.642 eV per atom
data_ZrPtCl2
_chemical_formula_sum 'Zr2 Pt2 Cl4'
_symmetry_space_group_name_H-M 'C 1 m 1'
_symmetry_Int_Tables_number 8
_cell_length_a 6.505
_cell_length_b 3.718
_cell_length_c 8.372
_cell_angle_alpha 90.00
_cell_angle_beta 102.98
_cell_angle_gamma 90.00
loop_
_symmetry_equiv_pos_as_xyz
'x,y,z'
'x,-y,z'
'x+1/2,y+1/2,z'
'x+1/2,-y+1/2,z'
loop_
_atom_site_label
_atom_site_fract_x
_atom_site_fract_y
_atom_site_fract_z
Zr1 0.000 0.000 0.000
Pt1 0.213 0.500 0.180
Cl1 0.270 0.000 0.789
Cl2 0.469 0.000 0.388

***

Result set for spin magnetization: 8.474 9.502 0.000 0.000 μB per formula unit, one per record in the order listed.